*one*
CaNdTh: relaxed, PBE.

```
data_CaNdTh
_space_group_name_H-M_alt 'I 4 m m'
_space_group_IT_number 107
_space_group_name_Hall 'I 4 -2'
_cell_length_a 3.605
_cell_length_b 3.605
_cell_length_c 16.624
_cell_angle_alpha 90.00
_cell_angle_beta 90.00
_cell_angle_gamma 90.00
loop_
_atom_site_label
_atom_site_fract_x
_atom_site_fract_y
_atom_site_fract_z
_atom_site_occupancy
Ca1 0.000 0.000 0.000 1
Nd1 0.000 0.000 0.682 1
Th1 0.000 0.000 0.329 1
```

Summary:
Its density of states at the Fermi level is 1.3409 states/eV/atom. Its crystal system is tetragonal. The value obtained for the calculated volume is 216.0 Å³/cell.



*two*
CaNdTh: relaxed, PBE.

```
data_CaNdTh
_space_group_name_H-M_alt 'R -3 m'
_space_group_IT_number 166
_space_group_name_Hall '-R 3 2"'
_cell_length_a 3.6203
_cell_length_b 3.6203
_cell_length_c 57.1221
_cell_angle_alpha 90.00
_cell_angle_beta 90.00
_cell_angle_gamma 120.00
loop_
_atom_site_label
_atom_site_fract_x
_atom_site_fract_y
_atom_site_fract_z
_atom_site_occupancy
Ca1 0.0000 0.0000 0.1947 1
Nd1 0.0000 0.0000 0.2561 1
Th1 0.0000 0.0000 0.3589 1
```

Summary:
Its density of states at the Fermi level is 1.3772 states/eV/atom. Its crystal system is trigonal. The value obtained for the calculated volume is 648.4 Å³/cell.



Least stable = *two*



*one*
CaNdTh: relaxed, PBE.

```
data_CaNdTh
_space_group_name_H-M_alt 'P 4/n m m'
_space_group_IT_number 129
_cell_length_a 3.668
_cell_length_b 3.668
_cell_length_c 16.022
_cell_angle_alpha 90.00
_cell_angle_beta 90.00
_cell_angle_gamma 90.00
loop_
_space_group_symop_operation_xyz
'x,y,z'
'-x,-y,-z'
'-y+1/2,x,z'
'y+1/2,-x,-z'
'-x+1/2,-y+1/2,z'
'x+1/2,y+1/2,-z'
'y,-x+1/2,z'
'-y,x+1/2,-z'
'x+1/2,-y,-z'
'-x+1/2,y,z'
'-y,-x,-z'
'y,x,z'
'-x,y+1/2,-z'
'x,-y+1/2,z'
'y+1/2,x+1/2,-z'
'-y+1/2,-x+1/2,z'
loop_
_atom_site_label
_atom_site_fract_x
_atom_site_fract_y
_atom_site_fract_z
_atom_site_occupancy
Ca1 0.250 0.250 0.092 1
Nd1 0.250 0.250 0.729 1
Th1 0.250 0.250 0.426 1
```

Summary:
Its density of states at the Fermi level is 1.5424 states/eV/atom. Its crystal system is tetragonal. The value obtained for the calculated volume is 215.5 Å³/cell.



*two*
CaNdTh: relaxed, PBE.

```
data_CaNdTh
_space_group_name_H-M_alt 'P 3 m 1'
_space_group_IT_number 156
_cell_length_a 3.6617
_cell_length_b 3.6617
_cell_length_c 9.2098
_cell_angle_alpha 90.00
_cell_angle_beta 90.00
_cell_angle_gamma 120.00
loop_
_space_group_symop_operation_xyz
'x,y,z'
'-y,x-y,z'
'-x+y,-x,z'
'-y,-x,z'
'-x+y,y,z'
'x,x-y,z'
loop_
_atom_site_label
_atom_site_fract_x
_atom_site_fract_y
_atom_site_fract_z
_atom_site_occupancy
Ca1 0.0000 0.0000 0.0000 1
Nd1 0.3333 0.6667 0.6439 1
Th1 0.6667 0.3333 0.3348 1
```

Summary:
Its density of states at the Fermi level is 1.6856 states/eV/atom. Its crystal system is trigonal. The value obtained for the calculated volume is 106.9 Å³/cell.



Least stable = *two*



*one*
CaNd2Tl: relaxed, PBE.

```
data_CaNd2Tl
_space_group_name_H-M_alt 'R 3 m'
_space_group_IT_number 160
_space_group_name_Hall 'R 3 -2"'
_cell_length_a 5.6174
_cell_length_b 5.6174
_cell_length_c 14.1609
_cell_angle_alpha 90.00
_cell_angle_beta 90.00
_cell_angle_gamma 120.00
loop_
_atom_site_label
_atom_site_fract_x
_atom_site_fract_y
_atom_site_fract_z
_atom_site_occupancy
Ca1 0.0000 0.0000 0.0000 1
Nd1 0.0000 0.0000 0.5148 1
Nd2 0.0000 0.0000 0.7483 1
Tl1 0.0000 0.0000 0.2595 1
```

Summary:
Its density of states at the Fermi level is 1.4959 states/eV/atom. Its crystal system is trigonal. The value obtained for the calculated volume is 387.0 Å³/cell.



*two*
CaNd2Tl: relaxed, PBE.

```
data_CaNd2Tl
_space_group_name_H-M_alt 'F m -3 m'
_space_group_IT_number 225
_space_group_name_Hall '-F 4 2 3'
_cell_length_a 7.983
_cell_length_b 7.983
_cell_length_c 7.983
_cell_angle_alpha 90.00
_cell_angle_beta 90.00
_cell_angle_gamma 90.00
loop_
_atom_site_label
_atom_site_fract_x
_atom_site_fract_y
_atom_site_fract_z
_atom_site_occupancy
Ca1 0.000 0.000 0.000 1
Nd1 0.250 0.250 0.250 1
Tl1 0.000 0.000 0.500 1
```

Summary:
Its density of states at the Fermi level is 0.7180 states/eV/atom. Its crystal system is cubic. The value obtained for the calculated volume is 508.7 Å³/cell.



Least stable = *one*



*one*
CaNdTl4: relaxed, PBE.

```
data_CaNdTl4
_space_group_name_H-M_alt 'P -1'
_space_group_IT_number 2
_cell_length_a 5.050
_cell_length_b 6.412
_cell_length_c 6.515
_cell_angle_alpha 88.82
_cell_angle_beta 67.20
_cell_angle_gamma 67.03
loop_
_space_group_symop_operation_xyz
'x,y,z'
'-x,-y,-z'
loop_
_atom_site_label
_atom_site_fract_x
_atom_site_fract_y
_atom_site_fract_z
_atom_site_occupancy
Ca1 0.000 0.000 0.000 1
Nd1 0.500 0.500 0.500 1
Tl1 0.185 0.483 0.147 1
Tl2 0.310 0.024 0.357 1
```

Summary:
Its density of states at the Fermi level is 0.4705 states/eV/atom. Its crystal system is triclinic. The value obtained for the calculated volume is 176.9 Å³/cell.



*two*
CaNdTl4: relaxed, PBE.

```
data_CaNdTl4
_space_group_name_H-M_alt 'F -4 3 m'
_space_group_IT_number 216
_space_group_name_Hall 'F -4 2 3'
_cell_length_a 8.931
_cell_length_b 8.931
_cell_length_c 8.931
_cell_angle_alpha 90.00
_cell_angle_beta 90.00
_cell_angle_gamma 90.00
loop_
_atom_site_label
_atom_site_fract_x
_atom_site_fract_y
_atom_site_fract_z
_atom_site_occupancy
Ca1 0.000 0.000 0.000 1
Nd1 0.250 0.250 0.750 1
Tl1 0.125 0.125 0.375 1
```

Summary:
Its density of states at the Fermi level is 1.0312 states/eV/atom. Its crystal system is cubic. The value obtained for the calculated volume is 712.4 Å³/cell.



Least stable = *two*